(1)
Below is a relaxed structure of CdNiAg2P, with properties calculated at the GGA-PBE level.

```
CdNiAg2P
1.0
5.146 0.000 0.000
0.000 5.146 0.000
0.000 0.000 4.755
Cd Ni Ag P
1 1 2 1
direct
0.000 0.000 0.000
0.500 0.500 0.500
0.000 0.500 0.000
0.500 0.000 0.000
0.000 0.000 0.500
```

DFT formation energy ... 1250 meV per atom
Crystal system ... tetragonal
Theoretical density ... 5.5 g/cm³
E ... -11.56 eV/f.u.

(2)
Below is a relaxed structure of CdNiAg2Pd, with properties calculated at the GGA-PBE level.

```
CdNiAg2Pd
1.0
5.052 0.000 0.000
0.000 5.052 0.000
0.000 0.000 5.031
Cd Ni Ag Pd
1 1 2 1
direct
0.000 0.000 0.000
0.500 0.500 0.000
0.000 0.500 0.500
0.500 0.000 0.500
0.000 0.000 0.500
```

DFT formation energy ... 989 meV per atom
Crystal system ... tetragonal
Theoretical density ... 6.4 g/cm³
E ... -12.65 eV/f.u.

(3)
Below is a relaxed structure of Pm4CdNiAg2, with properties calculated at the GGA-PBE level.

```
Pm4CdNiAg2
1.0
2.626 1.516 8.440
-2.626 1.516 8.440
0.000 -3.032 8.440
Pm Cd Ni Ag
4 1 1 2
direct
0.115 0.115 0.115
0.367 0.367 0.367
0.633 0.633 0.633
0.885 0.885 0.885
0.500 0.500 0.500
0.000 0.000 0.000
0.241 0.241 0.241
0.759 0.759 0.759
```

DFT formation energy ... -272 meV per atom
Crystal system ... trigonal
Theoretical density ... 8.0 g/cm³
E ... -33.58 eV/f.u.

(4)
Below is a relaxed structure of CdNiAgPt, with properties calculated at the GGA-PBE level.

```
CdNiAgPt
1.0
6.365 0.000 0.000
0.000 6.365 0.000
0.000 0.000 6.365
Cd Ni Ag Pt
4 4 4 4
direct
0.000 0.000 0.000
0.000 0.500 0.500
0.500 0.000 0.500
0.500 0.500 0.000
0.000 0.000 0.500
0.000 0.500 0.000
0.500 0.000 0.000
0.500 0.500 0.500
0.250 0.250 0.250
0.250 0.750 0.750
0.750 0.250 0.750
0.750 0.750 0.250
0.250 0.250 0.750
0.250 0.750 0.250
0.750 0.250 0.250
0.750 0.750 0.750
```

DFT formation energy ... 22 meV per atom
Crystal system ... cubic
Theoretical density ... 12.2 g/cm³
E ... -15.50 eV/f.u.

(5)
Below is a relaxed structure of CdNiAgRh2, with properties calculated at the GGA-PBE level.

```
CdNiAgRh2
1.0
4.881 0.000 0.000
0.000 4.881 0.000
0.000 0.000 4.566
Cd Ni Ag Rh
1 1 1 2
direct
0.000 0.000 0.000
0.500 0.500 0.000
0.500 0.500 0.500
0.000 0.500 0.500
0.500 0.000 0.500
```

DFT formation energy ... 1392 meV per atom
Crystal system ... tetragonal
Theoretical density ... 7.4 g/cm³
E ... -17.29 eV/f.u.

(6)
Below is a relaxed structure of CdNi2AgRu, with properties calculated at the GGA-PBE level.

```
CdNi2AgRu
1.0
4.487 0.000 0.000
0.000 4.487 0.000
0.000 0.000 5.123
Cd Ni Ag Ru
1 2 1 1
direct
0.000 0.000 0.000
0.000 0.500 0.500
0.500 0.000 0.500
0.500 0.500 0.000
0.000 0.000 0.500
```

DFT formation energy ... 1106 meV per atom
Crystal system ... tetragonal
Theoretical density ... 7.1 g/cm³
E ... -19.08 eV/f.u.

(7)
Below is a relaxed structure of CdNiAg2S, with properties calculated at the GGA-PBE level.

```
CdNiAg2S
1.0
4.781 0.000 0.000
0.000 4.781 0.000
0.000 0.000 4.863
Cd Ni Ag S
1 1 2 1
direct
0.000 0.000 0.000
0.000 0.000 0.500
0.000 0.500 0.500
0.500 0.000 0.500
0.500 0.500 0.000
```

Crystal system ... tetragonal
Theoretical density ... 6.3 g/cm³
E_form (uncorrected) ... 727 meV/atom
E ... -12.89 eV/f.u.

(8)
Below is a relaxed structure of SrCd2NiAg, with properties calculated at the GGA-PBE level.

```
SrCd2NiAg
1.0
4.979 0.000 0.000
0.000 4.979 0.000
0.000 0.000 5.098
Sr Cd Ni Ag
1 2 1 1
direct
0.000 0.000 0.000
0.000 0.500 0.500
0.500 0.000 0.500
0.500 0.500 0.500
0.500 0.500 0.000
```

DFT formation energy ... -60 meV per atom
Crystal system ... tetragonal
Theoretical density ... 6.3 g/cm³
E ... -12.44 eV/f.u.

(9)
Below is a relaxed structure of TaCdNiAg2, with properties calculated at the GGA-PBE level.

```
TaCdNiAg2
1.0
4.694 0.000 0.000
0.000 4.694 0.000
0.000 0.000 4.693
Ta Cd Ni Ag
1 1 1 2
direct
0.000 0.000 0.000
0.500 0.500 0.000
0.500 0.500 0.500
0.000 0.500 0.500
0.500 0.000 0.500
```

DFT formation energy ... 1191 meV per atom
Crystal system ... tetragonal
Theoretical density ... 9.1 g/cm³
E ... -18.29 eV/f.u.

(10)
Below is a relaxed structure of YCdNiAg, with properties calculated at the GGA-PBE level.

```
YCdNiAg
1.0
6.787 0.000 0.000
0.000 6.787 0.000
0.000 0.000 6.787
Y Cd Ni Ag
4 4 4 4
direct
0.000 0.000 0.000
0.000 0.500 0.500
0.500 0.000 0.500
0.500 0.500 0.000
0.000 0.000 0.500
0.000 0.500 0.000
0.500 0.000 0.000
0.500 0.500 0.500
0.250 0.250 0.750
0.250 0.750 0.250
0.750 0.250 0.250
0.750 0.750 0.750
0.250 0.250 0.250
0.250 0.750 0.750
0.750 0.250 0.750
0.750 0.750 0.250
```

DFT formation energy ... -206 meV per atom
Crystal system ... cubic
Theoretical density ... 7.8 g/cm³
E ... -16.84 eV/f.u.

(11)
Below is a relaxed structure of ZnCdNiAg, with properties calculated at the GGA-PBE level.

```
ZnCdNiAg
1.0
6.339 0.000 0.000
0.000 6.339 0.000
0.000 0.000 6.339
Zn Cd Ni Ag
4 4 4 4
direct
0.000 0.000 0.000
0.000 0.500 0.500
0.500 0.000 0.500
0.500 0.500 0.000
0.000 0.000 0.500
0.000 0.500 0.000
0.500 0.000 0.000
0.500 0.500 0.500
0.250 0.250 0.750
0.250 0.750 0.250
0.750 0.250 0.250
0.750 0.750 0.750
0.250 0.250 0.250
0.250 0.750 0.750
0.750 0.250 0.750
0.750 0.750 0.250
```

DFT formation energy ... 40 meV per atom
Crystal system ... cubic
Theoretical density ... 9.0 g/cm³
E ... -10.66 eV/f.u.

(12)
Below is a relaxed structure of ZrCdNiAg, with properties calculated at the GGA-PBE level.

```
ZrCdNiAg
1.0
6.570 0.000 0.000
0.000 6.570 0.000
0.000 0.000 6.570
Zr Cd Ni Ag
4 4 4 4
direct
0.000 0.000 0.000
0.000 0.500 0.500
0.500 0.000 0.500
0.500 0.500 0.000
0.000 0.000 0.500
0.000 0.500 0.000
0.500 0.000 0.000
0.500 0.500 0.500
0.250 0.250 0.250
0.250 0.750 0.750
0.750 0.250 0.750
0.750 0.750 0.250
0.250 0.250 0.750
0.250 0.750 0.250
0.750 0.250 0.250
0.750 0.750 0.750
```

DFT formation energy ... -97 meV per atom
Crystal system ... cubic
Theoretical density ... 8.7 g/cm³
E ... -18.49 eV/f.u.

(13)
Below is a relaxed structure of Zr2CdNiAg, with properties calculated at the GGA-PBE level.

```
Zr2CdNiAg
1.0
4.768 0.000 0.000
0.000 4.768 0.000
0.000 0.000 4.825
Zr Cd Ni Ag
2 1 1 1
direct
0.000 0.500 0.000
0.500 0.000 0.000
0.000 0.000 0.500
0.000 0.000 0.000
0.500 0.500 0.500
```

DFT formation energy ... 281 meV per atom
Crystal system ... tetragonal
Theoretical density ... 7.0 g/cm³
E ... -25.24 eV/f.u.

(14)
Below is a relaxed structure of NpCdAg, with properties calculated at the GGA-PBE level.

```
NpCdAg
1.0
2.924 0.000 0.000
-1.462 2.532 0.000
0.000 0.000 8.335
Np Cd Ag
1 1 1
direct
0.000 0.000 0.000
0.333 0.667 0.650
0.667 0.333 0.339
```

DFT formation energy ... 168 meV per atom
Crystal system ... trigonal
Theoretical density ... 12.3 g/cm³
E ... -16.20 eV/f.u.

(15)
Below is a relaxed structure of NpCdAg2O6, with properties calculated at the GGA-PBE level.

```
NpCdAg2O6
1.0
2.880 1.663 4.949
-2.880 1.663 4.949
0.000 -3.326 4.949
Np Cd Ag O
1 1 2 6
direct
0.000 0.000 0.000
0.500 0.500 0.500
0.248 0.248 0.248
0.754 0.754 0.754
0.118 0.346 0.775
0.224 0.882 0.654
0.346 0.775 0.118
0.654 0.224 0.882
0.775 0.118 0.346
0.882 0.654 0.224
```

Crystal system ... trigonal
Theoretical density ... 7.7 g/cm³
E_form (uncorrected) ... -1299 meV/atom
E ... -62.30 eV/f.u.

(16)
Below is a relaxed structure of NpCd2Ag3O6, with properties calculated at the GGA-PBE level.

```
NpCd2Ag3O6
1.0
2.966 -5.183 0.000
2.966 5.183 0.000
-1.783 0.000 6.447
Np Cd Ag O
1 2 3 6
direct
0.000 0.000 0.000
0.333 0.667 0.000
0.667 0.333 0.000
0.153 0.847 0.500
0.500 0.500 0.500
0.847 0.153 0.500
0.053 0.743 0.175
0.257 0.947 0.825
0.364 0.364 0.177
0.636 0.636 0.823
0.743 0.053 0.175
0.947 0.257 0.825
```

Crystal system ... monoclinic
Theoretical density ... 7.4 g/cm³
E_form (uncorrected) ... -1221 meV/atom
E ... -67.73 eV/f.u.

(17)
Below is a relaxed structure of NpCd2AgO8, with properties calculated at the GGA-PBE level.

```
NpCd2AgO8
1.0
4.865 0.000 0.000
-0.094 5.120 0.000
-0.755 -0.608 7.147
Np Cd Ag O
1 2 1 8
direct
0.000 0.000 0.000
0.440 0.485 0.771
0.560 0.515 0.229
0.000 0.000 0.500
0.116 0.584 0.510
0.208 0.115 0.756
0.244 0.697 0.015
0.250 0.191 0.190
0.750 0.809 0.810
0.756 0.303 0.985
0.792 0.885 0.244
0.884 0.416 0.490
```

Crystal system ... triclinic
Theoretical density ... 6.5 g/cm³
E_form (uncorrected) ... -1179 meV/atom
E ... -71.44 eV/f.u.

(18)
Below is a relaxed structure of NpCdAgO6, with properties calculated at the GGA-PBE level.

```
NpCdAgO6
1.0
5.503 0.000 0.000
-2.751 4.766 0.000
0.000 0.000 9.879
Np Cd Ag O
2 2 2 12
direct
0.333 0.667 0.250
0.667 0.333 0.750
0.000 0.000 0.000
0.000 0.000 0.500
0.333 0.667 0.750
0.667 0.333 0.250
0.029 0.364 0.134
0.029 0.666 0.366
0.334 0.364 0.366
0.334 0.971 0.134
0.364 0.029 0.634
0.364 0.334 0.866
0.636 0.666 0.134
0.636 0.971 0.366
0.666 0.029 0.866
0.666 0.636 0.634
0.971 0.334 0.634
0.971 0.636 0.866
```

Crystal system ... trigonal
Theoretical density ... 7.1 g/cm³
E_form (uncorrected) ... -1380 meV/atom
E ... -58.88 eV/f.u.

(19)
Below is a relaxed structure of NpCdAgPt, with properties calculated at the GGA-PBE level.

```
NpCdAgPt
1.0
6.945 0.000 0.000
0.000 6.945 0.000
0.000 0.000 6.945
Np Cd Ag Pt
4 4 4 4
direct
0.000 0.000 0.000
0.000 0.500 0.500
0.500 0.000 0.500
0.500 0.500 0.000
0.000 0.000 0.500
0.000 0.500 0.000
0.500 0.000 0.000
0.500 0.500 0.500
0.250 0.250 0.250
0.250 0.750 0.750
0.750 0.250 0.750
0.750 0.750 0.250
0.250 0.250 0.750
0.250 0.750 0.250
0.750 0.250 0.250
0.750 0.750 0.750
```

DFT formation energy ... -84 meV per atom
Crystal system ... cubic
Theoretical density ... 12.9 g/cm³
E ... -23.08 eV/f.u.

(20)
Below is a relaxed structure of Cd8AgO6, with properties calculated at the GGA-PBE level.

```
Cd8AgO6
1.0
4.714 2.722 3.373
-4.714 2.722 3.373
0.000 -5.443 3.373
Cd Ag O
8 1 6
direct
0.116 0.338 0.681
0.215 0.215 0.215
0.319 0.884 0.662
0.338 0.681 0.116
0.662 0.319 0.884
0.681 0.116 0.338
0.785 0.785 0.785
0.884 0.662 0.319
0.500 0.500 0.500
0.112 0.664 0.829
0.171 0.888 0.336
0.336 0.171 0.888
0.664 0.829 0.112
0.829 0.112 0.664
0.888 0.336 0.171
```

Crystal system ... trigonal
Theoretical density ... 7.1 g/cm³
E_form (uncorrected) ... -684 meV/atom
E ... -50.18 eV/f.u.

(21)
Below is a relaxed structure of CdAg3O, with properties calculated at the GGA-PBE level.

```
CdAg3O
1.0
4.551 0.000 0.000
0.000 4.551 0.000
0.000 0.000 4.551
Cd Ag O
1 3 1
direct
0.000 0.000 0.000
0.000 0.500 0.500
0.500 0.000 0.500
0.500 0.500 0.000
0.500 0.500 0.500
```

Offset from the most stable computed form ... 0.00 eV per formula unit
Crystal system ... cubic
Theoretical density ... 8.0 g/cm³
E_form (uncorrected) ... 73 meV/atom
E ... -14.06 eV/f.u.

(22)
Below is a relaxed structure of Cd3AgO, with properties calculated at the GGA-PBE level.

```
Cd3AgO
1.0
4.625 0.000 0.000
0.000 4.625 0.000
0.000 0.000 4.625
Cd Ag O
3 1 1
direct
0.000 0.000 0.500
0.000 0.500 0.000
0.500 0.000 0.000
0.500 0.500 0.500
0.000 0.000 0.000
```

Offset from the most stable computed form ... 0.00 eV per formula unit
Crystal system ... cubic
Theoretical density ... 7.7 g/cm³
E_form (uncorrected) ... -101 meV/atom
E ... -11.06 eV/f.u.

(23)
Below is a relaxed structure of CdAgO2, with properties calculated at the GGA-PBE level.

```
CdAgO2
1.0
6.843 0.000 0.000
0.000 4.584 0.000
0.000 0.000 3.453
Cd Ag O
2 2 4
direct
0.250 0.000 0.009
0.750 0.000 0.991
0.000 0.500 0.500
0.500 0.500 0.500
0.000 0.000 0.500
0.250 0.500 0.875
0.500 0.000 0.500
0.750 0.500 0.125
```

Crystal system ... orthorhombic
Theoretical density ... 7.7 g/cm³
E_form (uncorrected) ... -522 meV/atom
E ... -15.77 eV/f.u.

(24)
Below is a relaxed structure of Cd4AgO4, with properties calculated at the GGA-PBE level.

```
Cd4AgO4
1.0
5.386 -2.383 0.000
5.386 2.383 0.000
-4.567 0.000 5.564
Cd Ag O
4 1 4
direct
0.117 0.117 0.310
0.332 0.332 0.954
0.668 0.668 0.046
0.883 0.883 0.690
0.500 0.500 0.500
0.151 0.151 0.016
0.379 0.379 0.676
0.621 0.621 0.324
0.849 0.849 0.984
```

Crystal system ... monoclinic
Theoretical density ... 7.2 g/cm³
E_form (uncorrected) ... -730 meV/atom
E ... -32.92 eV/f.u.

(25)
Below is a relaxed structure of Cd2AgO2, with properties calculated at the GGA-PBE level.

```
Cd2AgO2
1.0
3.411 -4.687 0.000
3.411 4.687 0.000
-3.335 0.000 5.202
Cd Ag O
4 2 4
direct
0.091 0.909 0.750
0.254 0.746 0.250
0.746 0.254 0.750
0.909 0.091 0.250
0.399 0.601 0.750
0.601 0.399 0.250
0.122 0.296 0.064
0.296 0.122 0.564
0.704 0.878 0.436
0.878 0.704 0.936
```

Crystal system ... monoclinic
Theoretical density ... 7.3 g/cm³
E_form (uncorrected) ... -539 meV/atom
E ... -17.29 eV/f.u.

(26)
Below is a relaxed structure of Cd2AgO, with properties calculated at the GGA-PBE level.

```
Cd2AgO
1.0
3.183 0.000 0.000
-1.591 2.756 0.000
0.000 0.000 25.516
Cd Ag O
6 3 3
direct
0.000 0.000 0.108
0.000 0.000 0.892
0.333 0.667 0.559
0.333 0.667 0.775
0.667 0.333 0.225
0.667 0.333 0.441
0.000 0.000 0.000
0.333 0.667 0.667
0.667 0.333 0.333
0.000 0.000 0.500
0.333 0.667 0.167
0.667 0.333 0.833
```

Crystal system ... trigonal
Theoretical density ... 7.8 g/cm³
E_form (uncorrected) ... -263 meV/atom
E ... -10.69 eV/f.u.